# Rb2YCdF6 (PBE-GGA, relaxed)
# * E_tot: -5.00 eV per atom
# * M_tot: 1.7 μB/cell
# * density of states at the Fermi level: 5.3 states/eV/cell
# * raw formation energy: -2.94 eV per atom
data_Rb2YCdF6
_chemical_formula_sum 'Rb4 Y2 Cd2 F12'
_space_group_name_H-M_alt 'P m m n'
_space_group_IT_number 59
_cell_length_a 6.615
_cell_length_b 9.374
_cell_length_c 6.737
_cell_angle_alpha 90.00
_cell_angle_beta 90.00
_cell_angle_gamma 90.00
loop_
_space_group_symop_operation_xyz
'x,y,z'
'-x,-y,-z'
'-x+1/2,-y+1/2,z'
'x+1/2,y+1/2,-z'
'x+1/2,-y,-z'
'-x+1/2,y,z'
'-x,y+1/2,-z'
'x,-y+1/2,z'
loop_
_atom_site_label
_atom_site_fract_x
_atom_site_fract_y
_atom_site_fract_z
Rb1 0.250 0.006 0.231
Y1 0.250 0.750 0.763
Cd1 0.250 0.250 0.737
F1 0.013 0.750 0.537
F2 0.015 0.750 0.993
F3 0.250 0.517 0.784